## ZnMo2Ir (GGA-PBE)

Data for an optimized crystal structure of ZnMo2Ir.

The space group is P4mm (No. 99) and the conventional cell measures 2.768, 2.768 and 7.927 Å, with angles of 90.00, 90.00 and 90.00 degrees. The distinct sites, in fractional coordinates, are Zn at (0.000, 0.000, 0.000), Mo at (0.000, 0.000, 0.466), Mo at (0.500, 0.500, 0.746) and Ir at (0.500, 0.500, 0.237).

The total energy is -8.0004 eV/atom.